Here is crystalline La3InAg at its relaxed geometry from Alexandria. Energies are from PBE-GGA.

Values from the calculation:
M_tot = 0.44 μB/f.u.
Raw total energy = -87.26 eV/cell
Energy above the most stable polymorph in this dataset = 0.00 eV per formula unit
Formation energy from the elements = -0.289 eV per atom

a b c (Å): 5.567 20.031 5.550
angles (deg): 90.00 90.00 90.00
Space group Cmcm (No. 63)
Inequivalent atoms, fractional coordinates:
La 0.000 0.057 0.250 (multiplicity 4)
La 0.000 0.248 0.250 (multiplicity 4)
La 0.000 0.436 0.250 (multiplicity 4)
In 0.000 0.152 0.750 (multiplicity 4)
Ag 0.000 0.351 0.750 (multiplicity 4)


Here is crystalline La4InAg2 at its relaxed geometry from Alexandria. Energies are from PBE-GGA.

Values from the calculation:
M_tot = 1.55 μB/f.u.
Raw total energy = -88.89 eV/cell
Energy above the most stable polymorph in this dataset = 0.00 eV per formula unit
Formation energy from the elements = -0.211 eV per atom

a b c (Å): 5.4038 5.4038 25.7381
angles (deg): 90.00 90.00 120.00
Space group R-3m (No. 166, hexagonal axes)
Inequivalent atoms, fractional coordinates:
La 0.0000 0.0000 0.1136 (multiplicity 6)
La 0.0000 0.0000 0.3687 (multiplicity 6)
In 0.0000 0.0000 0.5000 (multiplicity 3)
Ag 0.0000 0.0000 0.2409 (multiplicity 6)


Here is crystalline La2In5Ag3 at its relaxed geometry from Alexandria. Energies are from PBE-GGA.

Values from the calculation:
M_tot = 0.00 μB/f.u.
Raw total energy = -142.73 eV/cell
Energy above the most stable polymorph in this dataset = 0.00 eV per formula unit
Formation energy from the elements = -0.358 eV per atom

a b c (Å): 4.849 27.230 7.538
angles (deg): 90.00 90.00 90.00
Space group Cmc2_1 (No. 36)
Inequivalent atoms, fractional coordinates:
La 0.000 0.015 0.000 (multiplicity 4)
La 0.000 0.327 0.975 (multiplicity 4)
In 0.000 0.103 0.675 (multiplicity 4)
In 0.000 0.205 0.175 (multiplicity 4)
In 0.000 0.209 0.770 (multiplicity 4)
In 0.000 0.379 0.495 (multiplicity 4)
In 0.000 0.449 0.811 (multiplicity 4)
Ag 0.000 0.105 0.279 (multiplicity 4)
Ag 0.000 0.274 0.470 (multiplicity 4)
Ag 0.000 0.449 0.205 (multiplicity 4)


Here is crystalline La3In2Ag9 at its relaxed geometry from Alexandria. Energies are from PBE-GGA.

Values from the calculation:
M_tot = 0.00 μB/f.u.
Raw total energy = -98.74 eV/cell
Formation energy from the elements = -0.246 eV per atom

a b c (Å): 4.788 9.660 14.102
angles (deg): 90.00 90.00 90.00
Space group Immm (No. 71)
Inequivalent atoms, fractional coordinates:
La 0.000 0.000 0.000 (multiplicity 2)
La 0.000 0.000 0.290 (multiplicity 4)
In 0.000 0.183 0.500 (multiplicity 4)
Ag 0.000 0.288 0.137 (multiplicity 8)
Ag 0.000 0.358 0.338 (multiplicity 8)
Ag 0.000 0.500 0.000 (multiplicity 2)


The highest M_tot belongs to which entry?
La4InAg2